! CaMgGePd, optimized geometry, DFT PBE-GGA; values from VASP
! - Formation energy from the elements: -0.50 eV per atom
! - Density of states at the Fermi level: 1.0 states/eV/f.u.
! - Magnetic moment: 0.00 μB per atom
! - Crystal system: cubic
! - Raw total energy: -3.849 eV/atom
&SYSTEM
  ibrav = 0, nat = 4, ntyp = 4
/
ATOMIC_SPECIES
Mg 24.30 Mg.upf
Ge 72.64 Ge.upf
Ca 40.08 Ca.upf
Pd 106.42 Pd.upf
CELL_PARAMETERS angstrom
-0.926 3.674 -3.000
-3.081 -0.599 -3.674
-4.320 2.165 0.092
ATOMIC_POSITIONS crystal
Mg 0.500 0.500 0.500
Ge 0.250 0.250 0.250
Ca 0.000 0.000 0.000
Pd 0.750 0.750 0.750